Record 1
# PBE Mg6ZnIn, optimized geometry
data_Mg6ZnIn
_symmetry_space_group_name_H-M 'P -6 m 2'
_symmetry_Int_Tables_number 187
_symmetry_space_group_name_Hall 'P -6 2'
_cell_length_a 6.2340
_cell_length_b 6.2340
_cell_length_c 5.1051
_cell_angle_alpha 90.00
_cell_angle_beta 90.00
_cell_angle_gamma 120.00
loop_
_atom_site_label
_atom_site_type_symbol
_atom_site_fract_x
_atom_site_fract_y
_atom_site_fract_z
Mg1 Mg 0.1676 0.3352 0.0000
Mg2 Mg 0.5037 0.0075 0.5000
Zn1 Zn 0.6667 0.3333 0.0000
In1 In 0.0000 0.0000 0.5000
# Final energy = -1.71 eV per atom
# V = 171.82 Å³/f.u.
# Calculated density = 3.2 g/cm3

Record 2
# PBE Ta2AlTe2, optimized geometry
data_Ta2AlTe2
_symmetry_space_group_name_H-M 'I 4/m m m'
_symmetry_Int_Tables_number 139
_symmetry_space_group_name_Hall '-I 4 2'
_cell_length_a 3.955
_cell_length_b 3.955
_cell_length_c 16.084
_cell_angle_alpha 90.00
_cell_angle_beta 90.00
_cell_angle_gamma 90.00
loop_
_atom_site_label
_atom_site_type_symbol
_atom_site_fract_x
_atom_site_fract_y
_atom_site_fract_z
Ta1 Ta 0.000 0.500 0.250
Al1 Al 0.000 0.000 0.000
Te1 Te 0.000 0.000 0.380
# Final energy = -6.61 eV per atom
# V = 125.78 Å³/f.u.
# Calculated density = 8.5 g/cm3

Record 3
# PBE Tm2InAu2, optimized geometry
data_Tm2InAu2
_symmetry_space_group_name_H-M 'P 42/m n m'
_symmetry_Int_Tables_number 136
_symmetry_space_group_name_Hall '-P 4n 2n'
_cell_length_a 7.876
_cell_length_b 7.876
_cell_length_c 7.338
_cell_angle_alpha 90.00
_cell_angle_beta 90.00
_cell_angle_gamma 90.00
loop_
_atom_site_label
_atom_site_type_symbol
_atom_site_fract_x
_atom_site_fract_y
_atom_site_fract_z
Tm1 Tm 0.161 0.161 0.000
Tm2 Tm 0.175 0.175 0.500
In1 In 0.000 0.500 0.250
Au1 Au 0.130 0.870 0.265
# Final energy = -4.46 eV per atom
# V = 113.80 Å³/f.u.
# Calculated density = 12.4 g/cm3

Record 4
# PBE MgNb2ZnN4, optimized geometry
data_MgNb2ZnN4
_symmetry_space_group_name_H-M 'I -4'
_symmetry_Int_Tables_number 82
_symmetry_space_group_name_Hall 'I -4'
_cell_length_a 4.744
_cell_length_b 4.744
_cell_length_c 9.436
_cell_angle_alpha 90.00
_cell_angle_beta 90.00
_cell_angle_gamma 90.00
loop_
_atom_site_label
_atom_site_type_symbol
_atom_site_fract_x
_atom_site_fract_y
_atom_site_fract_z
Mg1 Mg 0.000 0.000 0.000
Nb1 Nb 0.000 0.000 0.500
Nb2 Nb 0.000 0.500 0.750
Zn1 Zn 0.000 0.500 0.250
N1 N 0.237 0.248 0.627
# Final energy = -7.62 eV per atom
# V = 106.17 Å³/f.u.
# Calculated density = 5.2 g/cm3

Record 5
# PBE HfTl, optimized geometry
data_HfTl
_symmetry_space_group_name_H-M 'F m -3 m'
_symmetry_Int_Tables_number 225
_symmetry_space_group_name_Hall '-F 4 2 3'
_cell_length_a 5.840
_cell_length_b 5.840
_cell_length_c 5.840
_cell_angle_alpha 90.00
_cell_angle_beta 90.00
_cell_angle_gamma 90.00
loop_
_atom_site_label
_atom_site_type_symbol
_atom_site_fract_x
_atom_site_fract_y
_atom_site_fract_z
Hf1 Hf 0.000 0.000 0.000
Tl1 Tl 0.000 0.000 0.500
# Final energy = -5.69 eV per atom
# V = 49.80 Å³/f.u.
# Calculated density = 12.8 g/cm3

Record 6
# PBE HgIrO3, optimized geometry
data_HgIrO3
_symmetry_space_group_name_H-M 'R -3 c'
_symmetry_Int_Tables_number 167
_symmetry_space_group_name_Hall '-R 3 2"c'
_cell_length_a 5.5720
_cell_length_b 5.5720
_cell_length_c 13.1372
_cell_angle_alpha 90.00
_cell_angle_beta 90.00
_cell_angle_gamma 120.00
loop_
_atom_site_label
_atom_site_type_symbol
_atom_site_fract_x
_atom_site_fract_y
_atom_site_fract_z
Hg1 Hg 0.0000 0.0000 0.2500
Ir1 Ir 0.0000 0.0000 0.0000
O1 O 0.0000 0.3990 0.2500
# Final energy = -5.17 eV per atom
# V = 58.87 Å³/f.u.
# Calculated density = 12.4 g/cm3

Record 7
# PBE PrSnTeAuS2, optimized geometry
data_PrSnTeAuS2
_symmetry_space_group_name_H-M 'C m c m'
_symmetry_Int_Tables_number 63
_symmetry_space_group_name_Hall '-C 2c 2'
_cell_length_a 4.111
_cell_length_b 13.997
_cell_length_c 11.371
_cell_angle_alpha 90.00
_cell_angle_beta 90.00
_cell_angle_gamma 90.00
loop_
_atom_site_label
_atom_site_type_symbol
_atom_site_fract_x
_atom_site_fract_y
_atom_site_fract_z
Pr1 Pr 0.000 0.000 0.000
Sn1 Sn 0.000 0.199 0.250
Te1 Te 0.000 0.116 0.750
Au1 Au 0.000 0.479 0.750
S1 S 0.000 0.368 0.573
# Final energy = -4.73 eV per atom
# V = 163.55 Å³/f.u.
# Calculated density = 6.6 g/cm3

Record 8
# PBE LaPrNF, optimized geometry
data_LaPrNF
_symmetry_space_group_name_H-M 'P -6 m 2'
_symmetry_Int_Tables_number 187
_symmetry_space_group_name_Hall 'P -6 2'
_cell_length_a 3.5866
_cell_length_b 3.5866
_cell_length_c 12.8128
_cell_angle_alpha 90.00
_cell_angle_beta 90.00
_cell_angle_gamma 120.00
loop_
_atom_site_label
_atom_site_type_symbol
_atom_site_fract_x
_atom_site_fract_y
_atom_site_fract_z
La1 La 0.0000 0.0000 0.1427
Pr1 Pr 0.6667 0.3333 0.3590
N1 N 0.3333 0.6667 0.2522
F1 F 0.0000 0.0000 0.5000
F2 F 0.6667 0.3333 0.0000
# Final energy = -6.97 eV per atom
# V = 71.37 Å³/f.u.
# Calculated density = 7.3 g/cm3

Record 9
# PBE DyErAg, optimized geometry
data_DyErAg
_symmetry_space_group_name_H-M 'F -4 3 m'
_symmetry_Int_Tables_number 216
_symmetry_space_group_name_Hall 'F -4 2 3'
_cell_length_a 6.915
_cell_length_b 6.915
_cell_length_c 6.915
_cell_angle_alpha 90.00
_cell_angle_beta 90.00
_cell_angle_gamma 90.00
loop_
_atom_site_label
_atom_site_type_symbol
_atom_site_fract_x
_atom_site_fract_y
_atom_site_fract_z
Dy1 Dy 0.000 0.000 0.000
Er1 Er 0.250 0.250 0.250
Ag1 Ag 0.250 0.250 0.750
# Final energy = -3.40 eV per atom
# V = 82.66 Å³/f.u.
# Calculated density = 8.8 g/cm3

Record 10
# PBE YLuBePd, optimized geometry
data_YLuBePd
_symmetry_space_group_name_H-M 'F -4 3 m'
_symmetry_Int_Tables_number 216
_symmetry_space_group_name_Hall 'F -4 2 3'
_cell_length_a 6.665
_cell_length_b 6.665
_cell_length_c 6.665
_cell_angle_alpha 90.00
_cell_angle_beta 90.00
_cell_angle_gamma 90.00
loop_
_atom_site_label
_atom_site_type_symbol
_atom_site_fract_x
_atom_site_fract_y
_atom_site_fract_z
Y1 Y 0.000 0.000 0.000
Lu1 Lu 0.250 0.250 0.750
Be1 Be 0.250 0.250 0.250
Pd1 Pd 0.000 0.000 0.500
# Final energy = -5.13 eV per atom
# V = 74.01 Å³/f.u.
# Calculated density = 8.5 g/cm3

Record 11
# PBE HfTl2Zn, optimized geometry
data_HfTl2Zn
_symmetry_space_group_name_H-M 'F -4 3 m'
_symmetry_Int_Tables_number 216
_symmetry_space_group_name_Hall 'F -4 2 3'
_cell_length_a 7.216
_cell_length_b 7.216
_cell_length_c 7.216
_cell_angle_alpha 90.00
_cell_angle_beta 90.00
_cell_angle_gamma 90.00
loop_
_atom_site_label
_atom_site_type_symbol
_atom_site_fract_x
_atom_site_fract_y
_atom_site_fract_z
Hf1 Hf 0.000 0.000 0.000
Tl1 Tl 0.000 0.000 0.500
Tl2 Tl 0.250 0.250 0.250
Zn1 Zn 0.250 0.250 0.750
# Final energy = -3.55 eV per atom
# V = 93.94 Å³/f.u.
# Calculated density = 11.5 g/cm3

Record 12
# PBE PrDyPt2, optimized geometry
data_PrDyPt2
_symmetry_space_group_name_H-M 'P m n 21'
_symmetry_Int_Tables_number 31
_symmetry_space_group_name_Hall 'P 2ac -2'
_cell_length_a 4.573
_cell_length_b 7.228
_cell_length_c 5.656
_cell_angle_alpha 90.00
_cell_angle_beta 90.00
_cell_angle_gamma 90.00
loop_
_atom_site_label
_atom_site_type_symbol
_atom_site_fract_x
_atom_site_fract_y
_atom_site_fract_z
Pr1 Pr 0.000 0.070 0.000
Dy1 Dy 0.000 0.566 0.782
Pt1 Pt 0.000 0.223 0.485
Pt2 Pt 0.000 0.689 0.295
# Final energy = -6.57 eV per atom
# V = 93.46 Å³/f.u.
# Calculated density = 12.3 g/cm3